# 1
4
Lattice="-3.152 1.799 -4.284 -0.805 -4.647 1.110 -2.395 0.217 1.263" Properties=species:S:1:pos:R:3 comment="SrCr2Ni GGA-PBE relaxed" n_ef_per_ev_fu=5.679 e_above_lowest_polymorph_ev_per_fu=3.01 e_form_ev_per_fu=4.59 space_group=C2/m pbc="T T T"
Cr -1.600 -2.215 1.186
Cr 0.000 0.000 0.000
Ni -1.978 -1.424 -1.587
Sr -2.774 1.008 -1.510


# 2
4
Lattice="5.030 0.000 0.000 2.515 4.356 0.000 2.515 1.452 4.107" Properties=species:S:1:pos:R:3 comment="CaTcSb2 GGA-PBE relaxed" n_ef_per_ev_fu=4.491 e_above_lowest_polymorph_ev_per_fu=2.25 space_group=F-43m pbc="T T T"
Tc 7.545 4.356 3.080
Sb 0.000 0.000 0.000
Sb 2.515 1.452 1.027
Ca 5.030 2.904 2.053


# 3
28
Lattice="4.195 0.000 0.000 0.000 9.571 0.000 0.000 0.000 12.742" Properties=species:S:1:pos:R:3 comment="Nd3Zn6Rh5 GGA-PBE relaxed" n_ef_per_ev_fu=5.217 e_form_ev_per_fu=-7.72 space_group=Pmmn pbc="T T T"
Rh 0.000 5.155 1.438
Rh 0.000 8.224 8.411
Rh 0.000 8.224 4.330
Rh 0.000 7.557 0.000
Rh 2.098 4.417 7.809
Rh 2.098 2.014 6.371
Rh 2.098 4.417 4.933
Rh 0.000 5.155 11.304
Rh 2.098 1.347 2.041
Rh 2.098 1.347 10.701
Zn 2.098 5.389 0.000
Zn 2.098 0.142 8.263
Zn 0.000 4.182 6.371
Zn 0.000 5.618 4.055
Zn 2.098 9.304 0.000
Zn 2.098 0.142 4.479
Zn 0.000 9.429 1.892
Zn 0.000 5.618 8.687
Zn 2.098 3.953 2.316
Zn 2.098 3.953 10.426
Zn 0.000 9.429 10.850
Zn 0.000 0.268 6.371
Nd 0.000 2.516 0.000
Nd 2.098 7.218 10.337
Nd 0.000 2.353 3.966
Nd 0.000 2.353 8.776
Nd 2.098 7.218 2.405
Nd 2.098 7.056 6.371


# 4
13
Lattice="5.372 0.000 0.000 2.686 4.652 0.000 2.686 1.551 9.644" Properties=species:S:1:pos:R:3 comment="Li8Sn2Ge3 GGA-PBE relaxed" n_ef_per_ev_fu=4.497 e_form_ev_per_fu=-1.94 space_group=R-3m pbc="T T T"
Li 2.686 1.551 1.778
Li 4.029 3.877 3.286
Li 6.715 3.877 3.286
Li 5.372 1.551 3.286
Li 5.372 4.653 6.358
Li 6.715 2.326 6.358
Li 4.029 2.326 6.358
Li 8.058 4.652 7.866
Ge 8.058 4.652 5.327
Ge 0.000 0.000 0.000
Ge 2.686 1.551 4.317
Sn 5.372 3.102 0.882
Sn 5.372 3.102 8.762


# 5
8
Lattice="-0.627 2.100 -3.992 -6.797 -4.297 -1.193 -1.910 6.922 3.941" Properties=species:S:1:pos:R:3 comment="Ac4Te2AsAu GGA-PBE relaxed" n_ef_per_ev_fu=6.787 e_tot_ev_per_atom=-5.146 space_group=P2/m pbc="T T T"
Te -1.268 4.511 -0.026
Te -4.353 1.313 1.374
Ac -6.973 3.109 0.133
Ac -5.462 -1.626 0.002
Ac -3.244 4.252 2.746
Ac -2.361 1.616 -1.377
As 0.000 0.000 0.000
Au -3.712 -1.099 -2.592


# 6
4
Lattice="-1.368 4.742 -0.966 -4.341 1.135 2.271 4.285 -2.059 1.642" Properties=species:S:1:pos:R:3 comment="SbOs2Au GGA-PBE relaxed" n_ef_per_ev_fu=3.497 e_tot_ev_per_atom=-6.673 space_group=I-4m2 pbc="T T T"
Sb -2.855 2.938 0.653
Os -1.456 1.007 2.283
Os 0.000 0.000 0.000
Au 0.031 2.811 0.664


# 7
9
Lattice="6.014 0.496 0.337 2.137 9.672 0.839 2.137 4.332 8.688" Properties=species:S:1:pos:R:3 comment="Cs2K4TlBi2 GGA-PBE relaxed" n_ef_per_ev_fu=7.386 e_form_ev_per_fu=-1.92 space_group=C2/m pbc="T T T"
Cs 4.892 9.084 6.180
Cs 5.396 5.415 3.684
Tl 3.007 0.248 0.169
Bi 7.643 11.484 7.813
Bi 2.645 3.016 2.052
K 7.888 7.851 8.768
K 7.888 11.038 4.084
K 2.399 3.462 5.781
K 2.399 6.649 1.097


# 8
10
Lattice="-2.927 -2.202 -0.355 -0.774 -2.952 5.615 -9.034 8.339 3.710" Properties=species:S:1:pos:R:3 comment="Sm3YNi GGA-PBE relaxed" n_ef_per_ev_fu=6.724 e_form_ev_per_fu=-0.71 space_group=Cm pbc="T T T"
Sm -6.388 1.508 5.188
Sm -3.424 -2.535 5.819
Sm -11.229 5.117 3.645
Sm -5.871 1.415 1.490
Sm -6.158 4.589 3.248
Sm -9.634 2.538 6.486
Y -3.159 0.516 3.778
Y -10.093 6.179 6.766
Ni -8.640 4.588 4.657
Ni -3.635 -1.647 2.041


# 9
12
Lattice="4.105 0.000 0.000 0.000 6.985 0.000 0.000 0.000 7.543" Properties=species:S:1:pos:R:3 comment="DyMnSi GGA-PBE relaxed" n_ef_per_ev_fu=2.509 e_tot_ev_per_atom=-6.909 space_group=Pnma pbc="T T T"
Si 3.079 1.474 4.601
Si 1.026 2.019 0.829
Si 1.026 5.511 2.942
Si 3.079 4.967 6.713
Mn 1.026 0.965 3.328
Mn 3.079 6.020 4.215
Mn 3.079 2.528 7.099
Mn 1.026 4.458 0.444
Dy 3.079 6.931 1.402
Dy 1.026 3.547 5.173
Dy 3.079 3.438 2.370
Dy 1.026 0.055 6.141


# 10
4
Lattice="-2.170 2.732 -0.968 -2.446 0.221 6.106 0.404 2.112 5.058" Properties=species:S:1:pos:R:3 comment="HgP2W GGA-PBE relaxed" n_ef_per_ev_fu=2.239 e_form_ev_per_fu=2.39 space_group=P2/m pbc="T T T"
P 0.000 0.000 0.000
P -2.308 1.477 2.569
W -2.106 2.533 5.098
Hg 0.202 1.056 2.529


# 11
3
Lattice="0.000 3.158 3.158 3.158 0.000 3.158 3.158 3.158 0.000" Properties=species:S:1:pos:R:3 comment="MgNbAg GGA-PBE relaxed" n_ef_per_ev_fu=1.945 e_above_lowest_polymorph_ev_per_fu=2.96 e_form_ev_per_fu=3.12 space_group=F-43m pbc="T T T"
Ag 4.737 4.737 4.737
Mg 0.000 0.000 0.000
Nb 1.579 1.579 1.579


# 12
32
Lattice="-0.632 -5.549 0.631 4.407 0.631 9.963 -9.995 1.630 4.318" Properties=species:S:1:pos:R:3 comment="In2GaAu5 GGA-PBE relaxed" n_ef_per_ev_fu=2.252 e_above_lowest_polymorph_ev_per_fu=0.21 e_form_ev_per_fu=-0.88 space_group=Pnma pbc="T T T"
Ga 0.297 -1.164 2.575
Ga -1.465 -0.202 9.270
Ga -4.755 -3.086 5.642
Ga -6.517 -2.124 12.337
Au -6.715 -0.915 10.070
Au -3.110 -1.644 7.456
Au -6.403 1.819 9.759
Au 1.404 -3.347 9.513
Au -0.616 -4.302 11.431
Au -4.060 -2.318 13.094
Au -7.624 0.060 5.399
Au 0.000 0.000 0.000
Au -2.236 -3.429 5.152
Au -3.984 0.141 9.760
Au -0.359 -0.589 6.974
Au -0.316 -2.775 0.316
Au -5.861 -2.699 7.938
Au -2.160 -0.970 1.818
Au 0.495 -2.373 4.842
Au -5.916 -1.720 3.792
Au -0.304 -1.568 11.121
Au -5.604 1.014 3.481
Au -2.794 1.131 7.140
Au 0.183 -5.107 5.153
In -5.754 0.073 7.390
In -2.445 -3.713 2.444
In -8.504 -2.514 6.916
In 2.284 -0.774 7.996
In -3.775 0.425 12.468
In -3.195 -0.555 4.430
In -0.466 -3.361 7.522
In -3.025 -2.733 10.482